Entry from Alexandria: an optimized crystal structure of CdHgOs3 (PBE). Values from VASP.

## Properties
Calculated volume = 24.36 Å³ per atom
Symmetry = Pm-3m
Energy of formation = 290 kJ per mole of atoms
Energy above the lowest structure with this stoichiometry = 0 meV/atom

Quantum ESPRESSO input file:
```
&SYSTEM
  ibrav = 0, nat = 5, ntyp = 3
/
ATOMIC_SPECIES
Cd 112.41 Cd.upf
Os 190.23 Os.upf
Hg 200.59 Hg.upf
CELL_PARAMETERS angstrom
-4.841 -1.014 -0.330
0.475 -0.677 -4.888
0.955 -4.805 0.758
ATOMIC_POSITIONS crystal
Cd 0.500 0.500 0.500
Os 0.000 0.500 0.000
Os 0.000 0.000 0.500
Os 0.500 0.000 0.000
Hg 0.000 0.000 0.000
```

Entry from Alexandria: an optimized crystal structure of Ac4TbPm6 (PBE). Values from VASP.

## Properties
Calculated volume = 39.08 Å³ per atom
Symmetry = I-42m
Energy of formation = 24 kJ per mole of atoms

Quantum ESPRESSO input file:
```
&SYSTEM
  ibrav = 0, nat = 11, ntyp = 3
/
ATOMIC_SPECIES
Pm 145.00 Pm.upf
Ac 227.00 Ac.upf
Tb 158.93 Tb.upf
CELL_PARAMETERS angstrom
7.724 -2.625 -5.389
-5.234 8.119 1.513
-1.692 2.625 9.265
ATOMIC_POSITIONS crystal
Pm 0.500 0.000 0.500
Pm 0.662 0.229 0.229
Ac 0.000 0.015 0.626
Ac 0.000 0.626 0.015
Ac 0.611 0.985 0.985
Pm 0.338 0.567 0.567
Pm 0.000 0.771 0.433
Tb 0.000 0.000 0.000
Pm 0.000 0.433 0.771
Ac 0.389 0.374 0.374
Pm 0.500 0.500 0.000
```

Entry from Alexandria: an optimized crystal structure of PaAgPb (PBE). Values from VASP.

## Properties
Calculated volume = 24.39 Å³ per atom
Symmetry = P3m1
Energy of formation = 15 kJ per mole of atoms

Quantum ESPRESSO input file:
```
&SYSTEM
  ibrav = 0, nat = 3, ntyp = 3
/
ATOMIC_SPECIES
Pb 207.20 Pb.upf
Pa 231.04 Pa.upf
Ag 107.87 Ag.upf
CELL_PARAMETERS angstrom
3.254 0.000 0.000
0.000 5.096 0.000
0.000 -2.548 4.413
ATOMIC_POSITIONS crystal
Pb 0.168 0.000 0.000
Pa 0.667 0.667 0.333
Ag 0.165 0.333 0.667
```

Entry from Alexandria: an optimized crystal structure of Li2SnSbTe (PBE). Values from VASP.

## Properties
Calculated volume = 30.42 Å³ per atom
Symmetry = P4/mmm
Raw formation energy = -0.116 eV/atom

Quantum ESPRESSO input file:
```
&SYSTEM
  ibrav = 0, nat = 5, ntyp = 4
/
ATOMIC_SPECIES
Te 127.60 Te.upf
Sn 118.71 Sn.upf
Li 6.94 Li.upf
Sb 121.76 Sb.upf
CELL_PARAMETERS angstrom
-1.635 1.163 -4.516
-3.547 -5.118 -0.034
-3.718 2.563 2.006
ATOMIC_POSITIONS crystal
Te 0.000 0.000 0.000
Sn 0.500 0.500 0.500
Li 0.500 0.000 0.000
Sb 0.000 0.500 0.000
Li 0.000 0.000 0.500
```

Entry from Alexandria: an optimized crystal structure of CaMg2Cu4 (PBE). Values from VASP.

## Properties
Calculated volume = 23.01 Å³ per atom
Symmetry = I4/mmm
Energy of formation = 33 kJ per mole of atoms
Energy above the lowest structure with this stoichiometry = 457 meV/atom

Quantum ESPRESSO input file:
```
&SYSTEM
  ibrav = 0, nat = 7, ntyp = 3
/
ATOMIC_SPECIES
Cu 63.55 Cu.upf
Ca 40.08 Ca.upf
Mg 24.30 Mg.upf
CELL_PARAMETERS angstrom
-3.699 3.699 2.944
3.699 -3.699 2.944
3.699 3.699 -2.944
ATOMIC_POSITIONS crystal
Cu 0.720 0.500 0.220
Cu 0.280 0.500 0.780
Cu 0.500 0.720 0.220
Cu 0.500 0.280 0.780
Ca 0.000 0.000 0.000
Mg 0.250 0.750 0.500
Mg 0.750 0.250 0.500
```

Entry from Alexandria: an optimized crystal structure of PrPuNp2As4 (PBE). Values from VASP.

## Properties
Calculated volume = 25.55 Å³ per atom
Symmetry = P2/m
Energy of formation = -90 kJ per mole of atoms

Quantum ESPRESSO input file:
```
&SYSTEM
  ibrav = 0, nat = 8, ntyp = 4
/
ATOMIC_SPECIES
Np 237.00 Np.upf
As 74.92 As.upf
Pr 140.91 Pr.upf
Pu 244.00 Pu.upf
CELL_PARAMETERS angstrom
4.149 0.000 0.000
0.000 7.213 0.136
0.000 -2.512 6.782
ATOMIC_POSITIONS crystal
Np 0.500 0.000 0.500
As 0.000 0.240 0.738
As 0.500 0.754 0.743
Pr 0.500 0.500 0.000
As 0.500 0.246 0.257
As 0.000 0.760 0.262
Pu 0.000 0.000 0.000
Np 0.000 0.500 0.500
```

Entry from Alexandria: an optimized crystal structure of NaSi3Ag (PBE). Values from VASP.

## Properties
Calculated volume = 23.83 Å³ per atom
Symmetry = Pm-3m
Energy above the lowest structure with this stoichiometry = 637 meV/atom
Raw formation energy = 1.531 eV/atom

Quantum ESPRESSO input file:
```
&SYSTEM
  ibrav = 0, nat = 5, ntyp = 3
/
ATOMIC_SPECIES
Na 22.99 Na.upf
Si 28.09 Si.upf
Ag 107.87 Ag.upf
CELL_PARAMETERS angstrom
-3.640 -3.131 1.078
2.142 -3.448 -2.782
2.525 -1.589 3.913
ATOMIC_POSITIONS crystal
Na 0.000 0.000 0.000
Si 0.000 0.000 0.500
Si 0.000 0.500 0.000
Ag 0.500 0.500 0.500
Si 0.500 0.000 0.000
```

Entry from Alexandria: an optimized crystal structure of Ti4PdC2 (PBE). Values from VASP.

## Properties
Calculated volume = 13.18 Å³ per atom
Symmetry = Cmcm
Energy of formation = -63 kJ per mole of atoms

Quantum ESPRESSO input file:
```
&SYSTEM
  ibrav = 0, nat = 14, ntyp = 3
/
ATOMIC_SPECIES
Ti 47.87 Ti.upf
Pd 106.42 Pd.upf
C 12.01 C.upf
CELL_PARAMETERS angstrom
3.116 0.000 0.000
-1.558 5.266 0.000
0.000 0.000 11.245
ATOMIC_POSITIONS crystal
Ti 0.762 0.524 0.104
Pd 0.390 0.780 0.250
Ti 0.079 0.158 0.250
Ti 0.500 0.000 0.000
C 0.134 0.269 0.440
Ti 0.238 0.476 0.604
Pd 0.610 0.220 0.750
C 0.134 0.269 0.060
Ti 0.921 0.842 0.750
C 0.866 0.731 0.940
C 0.866 0.731 0.560
Ti 0.762 0.524 0.396
Ti 0.500 0.000 0.500
Ti 0.238 0.476 0.896
```

Entry from Alexandria: an optimized crystal structure of Dy6CdOs (PBE). Values from VASP.

## Properties
Calculated volume = 32.52 Å³ per atom
Symmetry = P-1
Energy of formation = 5 kJ per mole of atoms

Quantum ESPRESSO input file:
```
&SYSTEM
  ibrav = 0, nat = 8, ntyp = 3
/
ATOMIC_SPECIES
Dy 162.50 Dy.upf
Os 190.23 Os.upf
Cd 112.41 Cd.upf
CELL_PARAMETERS angstrom
6.853 0.009 -0.006
3.419 5.963 0.003
3.403 1.979 6.371
ATOMIC_POSITIONS crystal
Dy 0.042 0.418 0.757
Os 0.000 0.000 0.000
Dy 0.418 0.783 0.756
Cd 0.500 0.500 0.500
Dy 0.958 0.582 0.243
Dy 0.582 0.217 0.244
Dy 0.781 0.041 0.756
Dy 0.219 0.959 0.244
```

Entry from Alexandria: an optimized crystal structure of LiBeNb3 (PBE). Values from VASP.

## Properties
Calculated volume = 17.81 Å³ per atom
Symmetry = Pm-3m
Energy of formation = 71 kJ per mole of atoms
Energy above the lowest structure with this stoichiometry = 0 meV/atom

Quantum ESPRESSO input file:
```
&SYSTEM
  ibrav = 0, nat = 5, ntyp = 3
/
ATOMIC_SPECIES
Nb 92.91 Nb.upf
Li 6.94 Li.upf
Be 9.01 Be.upf
CELL_PARAMETERS angstrom
4.466 0.000 0.000
0.000 4.466 0.000
0.000 0.000 4.466
ATOMIC_POSITIONS crystal
Nb 0.500 0.000 0.000
Li 0.500 0.500 0.500
Nb 0.000 0.000 0.500
Nb 0.000 0.500 0.000
Be 0.000 0.000 0.000
```

Entry from Alexandria: an optimized crystal structure of GePSN2 (PBE). Values from VASP.

## Properties
Calculated volume = 11.89 Å³ per atom
Symmetry = P4/mmm
Energy above the lowest structure with this stoichiometry = 0 meV/atom
Raw formation energy = 0.779 eV/atom

Quantum ESPRESSO input file:
```
&SYSTEM
  ibrav = 0, nat = 5, ntyp = 4
/
ATOMIC_SPECIES
N 14.01 N.upf
P 30.97 P.upf
S 32.06 S.upf
Ge 72.64 Ge.upf
CELL_PARAMETERS angstrom
3.513 0.000 0.000
0.000 3.513 0.000
0.000 0.000 4.818
ATOMIC_POSITIONS crystal
N 0.000 0.500 0.000
N 0.500 0.000 0.000
P 0.000 0.000 0.000
S 0.000 0.000 0.500
Ge 0.500 0.500 0.500
```

Entry from Alexandria: an optimized crystal structure of KTeS (PBE). Values from VASP.

## Properties
Calculated volume = 33.01 Å³ per atom
Symmetry = P3m1
Energy above the lowest structure with this stoichiometry = 238 meV/atom
Raw formation energy = -0.334 eV/atom

Quantum ESPRESSO input file:
```
&SYSTEM
  ibrav = 0, nat = 3, ntyp = 3
/
ATOMIC_SPECIES
Te 127.60 Te.upf
K 39.10 K.upf
S 32.06 S.upf
CELL_PARAMETERS angstrom
-3.462 3.571 -0.427
-1.554 -1.993 -4.064
-1.889 -1.329 4.192
ATOMIC_POSITIONS crystal
Te 0.197 0.333 0.667
K 0.688 0.667 0.333
S 0.115 0.000 0.000
```

Entry from Alexandria: an optimized crystal structure of La2TbPrEr5 (PBE). Values from VASP.

## Properties
Calculated volume = 32.70 Å³ per atom
Symmetry = I4/mcm
Energy of formation = 24 kJ per mole of atoms

Quantum ESPRESSO input file:
```
&SYSTEM
  ibrav = 0, nat = 18, ntyp = 4
/
ATOMIC_SPECIES
Er 167.26 Er.upf
Pr 140.91 Pr.upf
Tb 158.93 Tb.upf
La 138.91 La.upf
CELL_PARAMETERS angstrom
-7.989 -3.089 1.021
1.060 0.086 8.560
0.644 8.887 -4.516
ATOMIC_POSITIONS crystal
Er 0.072 0.572 0.718
Pr 0.250 0.750 0.500
Tb 0.250 0.250 0.500
La 0.118 0.382 0.000
Er 0.428 0.355 0.282
Er 0.928 0.428 0.282
Er 0.355 0.855 0.282
La 0.618 0.118 0.000
Er 0.855 0.928 0.282
Tb 0.750 0.750 0.500
La 0.882 0.618 0.000
Pr 0.750 0.250 0.500
Er 0.145 0.072 0.718
Er 0.000 0.000 0.000
La 0.382 0.882 0.000
Er 0.645 0.145 0.718
Er 0.500 0.500 0.000
Er 0.572 0.645 0.718
```

Entry from Alexandria: an optimized crystal structure of Dy3ScRh4 (PBE). Values from VASP.

## Properties
Calculated volume = 19.26 Å³ per atom
Symmetry = P4/mmm
Energy of formation = -86 kJ per mole of atoms

Quantum ESPRESSO input file:
```
&SYSTEM
  ibrav = 0, nat = 8, ntyp = 3
/
ATOMIC_SPECIES
Sc 44.96 Sc.upf
Dy 162.50 Dy.upf
Rh 102.91 Rh.upf
CELL_PARAMETERS angstrom
-0.477 -3.259 -0.409
3.181 -0.561 0.763
-3.449 -1.190 13.503
ATOMIC_POSITIONS crystal
Sc 0.500 0.500 0.000
Dy 0.500 0.500 0.244
Rh 0.000 0.000 0.371
Dy 0.500 0.500 0.500
Rh 0.000 0.000 0.113
Rh 0.000 0.000 0.629
Rh 0.000 0.000 0.887
Dy 0.500 0.500 0.756
```

Entry from Alexandria: an optimized crystal structure of PrDyCoPt (PBE). Values from VASP.

## Properties
Calculated volume = 21.51 Å³ per atom
Symmetry = F-43m
Energy of formation = -51 kJ per mole of atoms

Quantum ESPRESSO input file:
```
&SYSTEM
  ibrav = 0, nat = 4, ntyp = 4
/
ATOMIC_SPECIES
Co 58.93 Co.upf
Dy 162.50 Dy.upf
Pr 140.91 Pr.upf
Pt 195.08 Pt.upf
CELL_PARAMETERS angstrom
-4.743 0.686 1.262
-3.594 -0.901 -3.290
-2.992 -3.903 0.606
ATOMIC_POSITIONS crystal
Co 0.250 0.250 0.250
Dy 0.000 0.000 0.000
Pr 0.500 0.500 0.500
Pt 0.750 0.750 0.750
```

Entry from Alexandria: an optimized crystal structure of DyGaAg4 (PBE). Values from VASP.

## Properties
Calculated volume = 20.06 Å³ per atom
Symmetry = F-43m
Energy of formation = -15 kJ per mole of atoms

Quantum ESPRESSO input file:
```
&SYSTEM
  ibrav = 0, nat = 6, ntyp = 3
/
ATOMIC_SPECIES
Ag 107.87 Ag.upf
Ga 69.72 Ga.upf
Dy 162.50 Dy.upf
CELL_PARAMETERS angstrom
5.542 0.000 0.000
2.771 4.799 0.000
2.771 1.600 4.525
ATOMIC_POSITIONS crystal
Ag 0.625 0.125 0.625
Ga 0.000 0.000 0.000
Dy 0.250 0.250 0.250
Ag 0.625 0.625 0.625
Ag 0.125 0.625 0.625
Ag 0.625 0.625 0.125
```

Entry from Alexandria: an optimized crystal structure of CaTbMgSn (PBE). Values from VASP.

## Properties
Calculated volume = 27.42 Å³ per atom
Symmetry = F-43m
Energy of formation = -37 kJ per mole of atoms

Quantum ESPRESSO input file:
```
&SYSTEM
  ibrav = 0, nat = 4, ntyp = 4
/
ATOMIC_SPECIES
Tb 158.93 Tb.upf
Mg 24.30 Mg.upf
Sn 118.71 Sn.upf
Ca 40.08 Ca.upf
CELL_PARAMETERS angstrom
5.373 0.000 0.000
2.686 4.653 0.000
2.686 1.551 4.387
ATOMIC_POSITIONS crystal
Tb 0.750 0.750 0.750
Mg 0.000 0.000 0.000
Sn 0.500 0.500 0.500
Ca 0.250 0.250 0.250
```

Entry from Alexandria: an optimized crystal structure of LiMn2Al (PBE). Values from VASP.

## Properties
Calculated volume = 12.51 Å³ per atom
Symmetry = F-43m
Energy of formation = -9 kJ per mole of atoms

Quantum ESPRESSO input file:
```
&SYSTEM
  ibrav = 0, nat = 4, ntyp = 3
/
ATOMIC_SPECIES
Li 6.94 Li.upf
Mn 54.94 Mn.upf
Al 26.98 Al.upf
CELL_PARAMETERS angstrom
4.136 0.000 0.000
2.068 3.582 0.000
2.068 1.194 3.377
ATOMIC_POSITIONS crystal
Li 0.750 0.750 0.750
Mn 0.000 0.000 0.000
Al 0.500 0.500 0.500
Mn 0.250 0.250 0.250
```

Entry from Alexandria: an optimized crystal structure of Ba2Al2Ag (PBE). Values from VASP.

## Properties
Calculated volume = 32.48 Å³ per atom
Symmetry = I4/mmm
Energy of formation = 0 kJ per mole of atoms
Energy above the lowest structure with this stoichiometry = 175 meV/atom

Quantum ESPRESSO input file:
```
&SYSTEM
  ibrav = 0, nat = 5, ntyp = 3
/
ATOMIC_SPECIES
Al 26.98 Al.upf
Ba 137.33 Ba.upf
Ag 107.87 Ag.upf
CELL_PARAMETERS angstrom
-2.611 1.339 2.655
-1.179 -3.710 0.712
5.258 -2.026 9.143
ATOMIC_POSITIONS crystal
Al 0.750 0.250 0.500
Ba 0.397 0.397 0.206
Ba 0.603 0.603 0.794
Al 0.250 0.750 0.500
Ag 0.000 0.000 0.000
```

Entry from Alexandria: an optimized crystal structure of Nd8TlIn2 (PBE). Values from VASP.

## Properties
Calculated volume = 31.54 Å³ per atom
Symmetry = C2/m
Energy of formation = -23 kJ per mole of atoms
Energy above the lowest structure with this stoichiometry = 0 meV/atom

Quantum ESPRESSO input file:
```
&SYSTEM
  ibrav = 0, nat = 11, ntyp = 3
/
ATOMIC_SPECIES
In 114.82 In.upf
Nd 144.24 Nd.upf
Tl 204.38 Tl.upf
CELL_PARAMETERS angstrom
5.070 0.000 0.000
0.000 8.354 0.177
-2.535 -3.372 8.120
ATOMIC_POSITIONS crystal
In 0.225 0.645 0.451
Nd 0.404 0.550 0.807
Tl 0.500 0.000 0.000
Nd 0.679 0.939 0.359
Nd 0.943 0.273 0.886
Nd 0.141 0.204 0.283
In 0.775 0.355 0.549
Nd 0.596 0.450 0.193
Nd 0.321 0.061 0.641
Nd 0.859 0.796 0.717
Nd 0.057 0.727 0.114
```